[1]
First-principles (GGA-PBE) data for crystalline LiTb6Cu5 at its relaxed geometry, as listed in Alexandria via LeMat-Bulk.

Lattice parameters (Å, degrees): 7.8874 7.8874 6.9718 90.00 90.00 143.28
Sites, in units of the cell vectors:
Li (0.0000, 0.0000, 0.0000)
Tb (0.1702, 0.8298, 0.2527)
Tb (0.1702, 0.8298, 0.7473)
Tb (0.5000, 0.5000, 0.2593)
Tb (0.5000, 0.5000, 0.7407)
Tb (0.8298, 0.1702, 0.2527)
Tb (0.8298, 0.1702, 0.7473)
Cu (0.0000, 0.0000, 0.5000)
Cu (0.3324, 0.6676, 0.5000)
Cu (0.3436, 0.6564, 0.0000)
Cu (0.6564, 0.3436, 0.0000)
Cu (0.6676, 0.3324, 0.5000)

Total DFT energy (no corrections) in eV for the cell shown: -52.4
Crystal system: orthorhombic
Energy of formation from the pure elements in kcal/mol of atoms: -4.21

---

[2]
First-principles (GGA-PBE) data for crystalline LiTb2Cu at its relaxed geometry, as listed in Alexandria via LeMat-Bulk.

Lattice parameters (Å, degrees): 9.9032 9.9032 9.9032 20.28 20.28 20.28
Sites, in units of the cell vectors:
Li (0.0000, 0.0000, 0.0000)
Tb (0.2377, 0.2377, 0.2377)
Tb (0.7623, 0.7623, 0.7623)
Cu (0.5000, 0.5000, 0.5000)

Total DFT energy (no corrections) in eV for the cell shown: -14.8
Crystal system: trigonal
Energy of formation from the pure elements in kcal/mol of atoms: 2.59

---

[3]
First-principles (GGA-PBE) data for crystalline Li2TbCu4 at its relaxed geometry, as listed in Alexandria via LeMat-Bulk.

Lattice parameters (Å, degrees): 5.2945 5.2945 5.2945 126.38 101.97 101.51
Sites, in units of the cell vectors:
Li (0.0000, 0.2501, 0.2501)
Li (0.0000, 0.7499, 0.7499)
Tb (0.5000, 0.5000, 0.0000)
Cu (0.1190, 0.8096, 0.3094)
Cu (0.4998, 0.1904, 0.3094)
Cu (0.5002, 0.8096, 0.6906)
Cu (0.8810, 0.1904, 0.6906)

Total DFT energy (no corrections) in eV for the cell shown: -25.9
Crystal system: orthorhombic
Energy of formation from the pure elements in kcal/mol of atoms: -3.36

---

[4]
First-principles (GGA-PBE) data for crystalline LiTb3Cu8 at its relaxed geometry, as listed in Alexandria via LeMat-Bulk.

Lattice parameters (Å, degrees): 8.9815 8.9815 8.9815 33.47 33.47 33.47
Sites, in units of the cell vectors:
Li (0.0000, 0.0000, 0.0000)
Tb (0.1205, 0.1205, 0.1205)
Tb (0.5090, 0.5090, 0.5090)
Tb (0.6369, 0.6369, 0.6369)
Cu (0.0679, 0.0679, 0.5683)
Cu (0.0679, 0.5683, 0.0679)
Cu (0.0739, 0.5622, 0.5622)
Cu (0.3179, 0.3179, 0.3179)
Cu (0.5622, 0.0739, 0.5622)
Cu (0.5622, 0.5622, 0.0739)
Cu (0.5683, 0.0679, 0.0679)
Cu (0.8159, 0.8159, 0.8159)

Total DFT energy (no corrections) in eV for the cell shown: -50.6
Crystal system: trigonal
Energy of formation from the pure elements in kcal/mol of atoms: -3.92

---

[5]
First-principles (GGA-PBE) data for crystalline Li3TbCu3 at its relaxed geometry, as listed in Alexandria via LeMat-Bulk.

Lattice parameters (Å, degrees): 6.3576 6.3576 6.3576 90.00 90.00 90.00
Sites, in units of the cell vectors:
Li (0.0000, 0.2500, 0.5000)
Li (0.0000, 0.7500, 0.5000)
Li (0.2500, 0.5000, 0.0000)
Li (0.5000, 0.0000, 0.2500)
Li (0.5000, 0.0000, 0.7500)
Li (0.7500, 0.5000, 0.0000)
Tb (0.0000, 0.0000, 0.0000)
Tb (0.5000, 0.5000, 0.5000)
Cu (0.0000, 0.5000, 0.2500)
Cu (0.0000, 0.5000, 0.7500)
Cu (0.2500, 0.0000, 0.5000)
Cu (0.5000, 0.2500, 0.0000)
Cu (0.5000, 0.7500, 0.0000)
Cu (0.7500, 0.0000, 0.5000)

Total DFT energy (no corrections) in eV for the cell shown: -39.9
Crystal system: cubic
Energy of formation from the pure elements in kcal/mol of atoms: 8.89

---

[6]
First-principles (GGA-PBE) data for crystalline LiTbThCu at its relaxed geometry, as listed in Alexandria via LeMat-Bulk.

Lattice parameters (Å, degrees): 5.0891 5.0891 5.0891 60.00 60.00 60.00
Sites, in units of the cell vectors:
Li (0.0000, 0.0000, 0.0000)
Tb (0.7500, 0.7500, 0.7500)
Th (0.2500, 0.2500, 0.2500)
Cu (0.5000, 0.5000, 0.5000)

Total DFT energy (no corrections) in eV for the cell shown: -17.7
Crystal system: cubic
Energy of formation from the pure elements in kcal/mol of atoms: 2.04

---

[7]
First-principles (GGA-PBE) data for crystalline LiTbYCu at its relaxed geometry, as listed in Alexandria via LeMat-Bulk.

Lattice parameters (Å, degrees): 5.0440 5.0440 5.0440 60.00 60.00 60.00
Sites, in units of the cell vectors:
Li (0.0000, 0.0000, 0.0000)
Tb (0.7500, 0.7500, 0.7500)
Y (0.2500, 0.2500, 0.2500)
Cu (0.5000, 0.5000, 0.5000)

Total DFT energy (no corrections) in eV for the cell shown: -17.3
Crystal system: cubic
Energy of formation from the pure elements in kcal/mol of atoms: -0.84

---

[8]
First-principles (GGA-PBE) data for crystalline LiTb2Zn3Cu12 at its relaxed geometry, as listed in Alexandria via LeMat-Bulk.

Lattice parameters (Å, degrees): 9.3621 9.3621 9.3621 38.96 38.96 38.96
Sites, in units of the cell vectors:
Li (0.0000, 0.0000, 0.0000)
Tb (0.3494, 0.3494, 0.3494)
Tb (0.6506, 0.6506, 0.6506)
Zn (0.0000, 0.0000, 0.5000)
Zn (0.0000, 0.5000, 0.0000)
Zn (0.5000, 0.0000, 0.0000)
Cu (0.0747, 0.0747, 0.6440)
Cu (0.0747, 0.6440, 0.0747)
Cu (0.1926, 0.5787, 0.5787)
Cu (0.3560, 0.9253, 0.9253)
Cu (0.4213, 0.4213, 0.8074)
Cu (0.4213, 0.8074, 0.4213)
Cu (0.5787, 0.1926, 0.5787)
Cu (0.5787, 0.5787, 0.1926)
Cu (0.6440, 0.0747, 0.0747)
Cu (0.8074, 0.4213, 0.4213)
Cu (0.9253, 0.3560, 0.9253)
Cu (0.9253, 0.9253, 0.3560)

Total DFT energy (no corrections) in eV for the cell shown: -61.6
Crystal system: trigonal
Energy of formation from the pure elements in kcal/mol of atoms: 3.26

---

Question: Which value of energy of formation from the pure elements does entry 6 give?
Answer: 2.04 kcal/mol of atoms

---

Copy entry 6 word for word.
First-principles (GGA-PBE) data for crystalline LiTbThCu at its relaxed geometry, as listed in Alexandria via LeMat-Bulk.

Lattice parameters (Å, degrees): 5.0891 5.0891 5.0891 60.00 60.00 60.00
Sites, in units of the cell vectors:
Li (0.0000, 0.0000, 0.0000)
Tb (0.7500, 0.7500, 0.7500)
Th (0.2500, 0.2500, 0.2500)
Cu (0.5000, 0.5000, 0.5000)

Total DFT energy (no corrections) in eV for the cell shown: -17.7
Crystal system: cubic
Energy of formation from the pure elements in kcal/mol of atoms: 2.04

---

Question: Which value of energy of formation from the pure elements does entry 7 give?
Answer: -0.84 kcal/mol of atoms

---

What did the fourth record say?
First-principles (GGA-PBE) data for crystalline LiTb3Cu8 at its relaxed geometry, as listed in Alexandria via LeMat-Bulk.

Lattice parameters (Å, degrees): 8.9815 8.9815 8.9815 33.47 33.47 33.47
Sites, in units of the cell vectors:
Li (0.0000, 0.0000, 0.0000)
Tb (0.1205, 0.1205, 0.1205)
Tb (0.5090, 0.5090, 0.5090)
Tb (0.6369, 0.6369, 0.6369)
Cu (0.0679, 0.0679, 0.5683)
Cu (0.0679, 0.5683, 0.0679)
Cu (0.0739, 0.5622, 0.5622)
Cu (0.3179, 0.3179, 0.3179)
Cu (0.5622, 0.0739, 0.5622)
Cu (0.5622, 0.5622, 0.0739)
Cu (0.5683, 0.0679, 0.0679)
Cu (0.8159, 0.8159, 0.8159)

Total DFT energy (no corrections) in eV for the cell shown: -50.6
Crystal system: trigonal
Energy of formation from the pure elements in kcal/mol of atoms: -3.92